A relaxed Er4Ga12Ru crystal, computed with GGA-PBE.

The structure in POSCAR format:
```
Er4Ga12Ru
1.0
-4.290 4.290 4.290
4.290 -4.290 4.290
4.290 4.290 -4.290
Er Ga Ru
4 12 1
Cartesian
2.145 2.145 -2.145 Er
2.145 -2.145 2.145 Er
-2.145 2.145 2.145 Er
2.145 2.145 2.145 Er
2.493 0.000 0.000 Ga
6.086 0.000 0.000 Ga
4.290 2.145 0.000 Ga
4.290 0.000 2.145 Ga
0.000 2.493 0.000 Ga
0.000 0.000 2.493 Ga
2.145 4.290 0.000 Ga
2.145 0.000 4.290 Ga
0.000 6.086 0.000 Ga
0.000 0.000 6.086 Ga
0.000 4.290 2.145 Ga
0.000 2.145 4.290 Ga
0.000 0.000 0.000 Ru
```

Results
- Formation energy: -9.46 eV per formula unit